Entry 1:
Density functional theory data (PBE-GGA) for an optimized crystal structure of PrScGa2Ni5.

- electronic total energy (eV per atom) = -5.385
- formation enthalpy at 0 K (eV/atom) = -0.2657

a = 3.975 Å, b = 3.975 Å, c = 8.854 Å
α = 90.00°, β = 90.00°, γ = 90.00°
Fractional coordinates of all 9 atoms:
Ga: 0.500 0.500 0.862
Ga: 0.500 0.500 0.138
Ni: 0.500 0.500 0.500
Ni: 0.000 0.500 0.275
Ni: 0.000 0.500 0.725
Ni: 0.500 0.000 0.275
Ni: 0.500 0.000 0.725
Pr: 0.000 0.000 0.500
Sc: 0.000 0.000 0.000

Entry 2:
Density functional theory data (PBE-GGA) for an optimized crystal structure of Pr2GaSi4Ni3.

- electronic total energy (eV per atom) = -5.897
- formation energy (no corrections) (eV/atom) = -0.7348

a = 4.082 Å, b = 4.082 Å, c = 9.858 Å
α = 90.00°, β = 90.00°, γ = 90.00°
Fractional coordinates of all 10 atoms:
Ga: 0.500 0.500 0.500
Pr: 0.000 0.500 0.758
Pr: 0.500 0.000 0.242
Si: 0.500 0.000 0.645
Si: 0.000 0.000 0.000
Si: 0.500 0.500 0.000
Si: 0.000 0.500 0.355
Ni: 0.000 0.000 0.500
Ni: 0.000 0.500 0.116
Ni: 0.500 0.000 0.884

no.,DOS at the Fermi energy (states/eV/cell)
1,6.94
2,4.08